Record 1
VASP calculation (PBE) on CsSe3O after structural relaxation.

POSCAR file:
```
CsSe3O
1.0
6.178 0.000 0.000
0.000 6.178 0.000
0.000 0.000 6.178
Cs Se O
1 3 1
Direct
0.000 0.000 0.000
0.000 0.000 0.500
0.000 0.500 0.000
0.500 0.000 0.000
0.500 0.500 0.500
```

Results
VASP energy (Ry/atom): -0.1115
Total magnetization (μB/cell): 5.24
Fermi-level density of states (states/eV per atom): 2.0575
E above lowest polymorph (eV per atom): 1.547
Density (Mg/m³): 2.72

---

Record 2
VASP calculation (PBE) on Cs3SeO3 after structural relaxation.

POSCAR file:
```
Cs3SeO3
1.0
4.451 -7.696 0.000
4.451 7.696 0.000
0.000 0.000 6.134
Cs Se O
6 2 6
Direct
0.181 0.819 0.750
0.182 0.363 0.750
0.363 0.182 0.250
0.637 0.818 0.750
0.818 0.637 0.250
0.819 0.181 0.250
0.333 0.667 0.250
0.667 0.333 0.750
0.208 0.792 0.250
0.209 0.417 0.250
0.417 0.209 0.750
0.583 0.791 0.250
0.791 0.583 0.750
0.792 0.208 0.750
```

Results
VASP energy (Ry/atom): -0.2976
Total magnetization (μB/cell): 2.01
Density (Mg/m³): 4.15

---

Record 3
VASP calculation (PBE) on Cs2SeO3 after structural relaxation.

POSCAR file:
```
Cs2SeO3
1.0
6.509 0.000 0.000
3.047 6.524 0.000
2.933 2.288 7.327
Cs Se O
4 2 6
Direct
0.055 0.189 0.208
0.321 0.561 0.250
0.679 0.439 0.750
0.945 0.811 0.792
0.341 0.134 0.697
0.659 0.866 0.303
0.148 0.173 0.577
0.200 0.339 0.798
0.339 0.897 0.871
0.661 0.103 0.129
0.800 0.661 0.202
0.852 0.827 0.423
```

Results
VASP energy (Ry/atom): -0.3499
Total magnetization (μB/cell): 0.00
Fermi-level density of states (states/eV per atom): 0.0000
Density (Mg/m³): 4.19

---

Record 4
VASP calculation (PBE) on CsSeO4 after structural relaxation.

POSCAR file:
```
CsSeO4
1.0
8.369 0.000 0.000
0.000 8.614 0.000
-3.285 0.000 7.104
Cs Se O
4 4 16
Direct
0.228 0.125 0.238
0.228 0.375 0.738
0.772 0.625 0.262
0.772 0.875 0.762
0.254 0.651 0.252
0.254 0.849 0.752
0.746 0.151 0.248
0.746 0.349 0.748
0.086 0.734 0.637
0.086 0.766 0.137
0.200 0.005 0.841
0.200 0.495 0.341
0.346 0.577 0.110
0.346 0.923 0.610
0.424 0.748 0.916
0.424 0.752 0.416
0.576 0.248 0.584
0.576 0.252 0.084
0.654 0.077 0.390
0.654 0.423 0.890
0.800 0.505 0.659
0.800 0.995 0.159
0.914 0.234 0.863
0.914 0.266 0.363
```

Results
VASP energy (Ry/atom): -0.3590
Total magnetization (μB/cell): 4.19
E above lowest polymorph (eV per atom): 0.000
Density (Mg/m³): 3.58

---

Record 5
VASP calculation (PBE) on Cs2SeO3 after structural relaxation.

POSCAR file:
```
Cs2SeO3
1.0
0.000 6.665 7.097
4.202 0.000 7.097
4.202 6.665 0.000
Cs Se O
4 2 6
Direct
0.234 0.766 0.766
0.250 0.250 0.250
0.750 0.750 0.750
0.766 0.234 0.234
0.231 0.231 0.769
0.769 0.769 0.231
0.047 0.271 0.729
0.271 0.047 0.953
0.360 0.360 0.640
0.640 0.640 0.360
0.729 0.953 0.047
0.953 0.729 0.271
```

Results
VASP energy (Ry/atom): -0.3205
Total magnetization (μB/cell): 1.10
Fermi-level density of states (states/eV per atom): 0.7016
Density (Mg/m³): 3.28

---

Record 6
VASP calculation (PBE) on Cs2Se2O5 after structural relaxation.

POSCAR file:
```
Cs2Se2O5
1.0
4.567 0.000 0.000
0.079 6.916 0.000
1.082 2.817 7.302
Cs Se O
2 2 5
Direct
0.000 0.000 0.000
0.261 0.481 0.493
0.650 0.904 0.585
0.658 0.508 0.975
0.433 0.651 0.068
0.452 0.372 0.892
0.796 0.842 0.404
0.815 0.127 0.570
0.858 0.713 0.765
```

Results
VASP energy (Ry/atom): -0.3660
Total magnetization (μB/cell): 0.00
Fermi-level density of states (states/eV per atom): 0.0000
E above lowest polymorph (eV per atom): 0.000
Density (Mg/m³): 3.63